(1)
Compound: Pm7Sm3Ho
Source: Alexandria
Functional: PBE
Structure: optimized geometry

- offset from the most stable computed form (meV per atom) = 116
- DFT formation energy (eV per atom) = 0.236

Geometry as POSCAR:
```
Pm7Sm3Ho
1.0
-2.970 5.669 5.699
2.970 -5.669 5.699
2.970 5.669 -5.699
Pm Sm Ho
7 3 1
Direct
0.000 0.000 0.000 Pm
0.097 0.304 0.794 Pm
0.291 0.791 0.500 Pm
0.490 0.696 0.794 Pm
0.510 0.304 0.206 Pm
0.709 0.209 0.500 Pm
0.903 0.696 0.206 Pm
0.292 0.000 0.292 Sm
0.500 0.500 0.000 Sm
0.708 0.000 0.708 Sm
0.000 0.500 0.500 Ho
```



(2)
Compound: RbY3Pt
Source: Alexandria
Functional: PBE
Structure: optimized geometry

- offset from the most stable computed form (meV per atom) = 1627
- DFT formation energy (eV per atom) = 1.425

Geometry as POSCAR:
```
RbY3Pt
1.0
5.234 0.000 0.000
0.000 5.234 0.000
0.000 0.000 5.234
Rb Y Pt
1 3 1
Direct
0.000 0.000 0.000 Rb
0.000 0.000 0.500 Y
0.000 0.500 0.000 Y
0.500 0.000 0.000 Y
0.500 0.500 0.500 Pt
```



(3)
Compound: BaNpPd2Se4
Source: Alexandria
Functional: PBE
Structure: optimized geometry

- E_form (uncorrected) (eV per formula unit) = -6.9

Geometry as POSCAR:
```
BaNpPd2Se4
1.0
-3.533 3.533 4.259
3.533 -3.533 4.259
3.533 3.533 -4.259
Ba Np Pd Se
1 1 2 4
Direct
0.000 0.000 0.000 Ba
0.500 0.500 0.000 Np
0.250 0.750 0.500 Pd
0.750 0.250 0.500 Pd
0.070 0.513 0.000 Se
0.487 0.487 0.557 Se
0.513 0.070 0.000 Se
0.930 0.930 0.443 Se
```



(4)
Compound: RbScBeTe3
Source: Alexandria
Functional: PBE
Structure: optimized geometry

- E_form (uncorrected) (eV per formula unit) = -5.6

Geometry as POSCAR:
```
RbScBeTe3
1.0
10.033 0.000 0.000
0.000 4.159 0.000
-4.006 0.000 9.524
Rb Sc Be Te
2 2 2 6
Direct
0.210 0.250 0.238 Rb
0.790 0.750 0.762 Rb
0.333 0.750 0.861 Sc
0.667 0.250 0.139 Sc
0.079 0.250 0.601 Be
0.921 0.750 0.399 Be
0.122 0.250 0.850 Te
0.189 0.750 0.539 Te
0.474 0.750 0.165 Te
0.526 0.250 0.835 Te
0.811 0.250 0.461 Te
0.878 0.750 0.150 Te
```



(5)
Compound: Ho2InAu
Source: Alexandria
Functional: PBE
Structure: optimized geometry

- DFT formation energy (eV per atom) = -0.496

Geometry as POSCAR:
```
Ho2InAu
1.0
1.913 1.105 8.641
-1.913 1.105 8.641
0.000 -2.209 8.641
Ho In Au
2 1 1
Direct
0.241 0.241 0.241 Ho
0.759 0.759 0.759 Ho
0.000 0.000 0.000 In
0.500 0.500 0.500 Au
```



(6)
Compound: TbGaNi6
Source: Alexandria
Functional: PBE
Structure: optimized geometry

- DFT formation energy (eV per atom) = -0.118

Geometry as POSCAR:
```
TbGaNi6
1.0
3.811 0.000 0.000
0.000 3.811 0.000
0.000 0.000 7.903
Tb Ga Ni
1 1 6
Direct
0.000 0.000 0.000 Tb
0.000 0.000 0.500 Ga
0.000 0.500 0.320 Ni
0.000 0.500 0.680 Ni
0.500 0.000 0.320 Ni
0.500 0.000 0.680 Ni
0.500 0.500 0.143 Ni
0.500 0.500 0.857 Ni
```



In the order shown, the computed volume values come out to 34.90 28.68 26.58 33.12 27.40 14.35 Å³ per atom.